[1]
A plane-wave DFT calculation with PBE was carried out for an optimized crystal structure of SrLiV.

Its calculated total energy is -3.7633 eV per atom. The energy relative to the lowest polymorph listed for this composition comes out at 0.023 eV per atom. The value obtained for the magnetization is 0.0 μB/cell. The calculation puts the energy of formation from the pure elements at 0.4748 eV per atom.

The space group is P1 (No. 1) and the conventional cell measures 4.296, 5.757 and 6.852 Å, with angles of 89.91, 88.16 and 89.61 degrees. The asymmetric unit holds Sr at (0.000, 0.000, 0.000), Sr at (0.487, 0.999, 0.470), Li at (0.320, 0.499, 0.843), Li at (0.837, 0.497, 0.578), V at (0.284, 0.500, 0.259) and V at (0.693, 0.500, 0.174).

[2]
A plane-wave DFT calculation with PBE was carried out for an optimized crystal structure of Ac8Bi3Te4S.

Its calculated total energy is -5.1864 eV per atom. The value obtained for the magnetization is 0.0 μB/cell. For the formation energy (no corrections), the calculation gives -1.361 eV/atom.

The space group is R-3m (No. 166, hexagonal axes) and the conventional cell measures 9.4935, 9.4935 and 23.2526 Å, with angles of 90.00, 90.00 and 120.00 degrees. The asymmetric unit holds Ac at (0.0000, 0.0000, 0.2500), Ac at (0.0174, 0.5087, 0.2457), Bi at (0.0000, 0.5000, 0.5000), Te at (0.0000, 0.0000, 0.0000), Te at (0.0000, 0.5000, 0.0000) and S at (0.0000, 0.0000, 0.5000).

[3]
A plane-wave DFT calculation with PBE was carried out for an optimized crystal structure of BeTl2Re.

Its calculated total energy is -4.6353 eV per atom. The energy relative to the lowest polymorph listed for this composition comes out at 0.000 eV per atom. The value obtained for the magnetization is 0.2 μB/cell. The calculation puts the energy of formation from the pure elements at 0.5914 eV per atom.

The space group is P4mm (No. 99) and the conventional cell measures 3.213, 3.213 and 7.674 Å, with angles of 90.00, 90.00 and 90.00 degrees. The asymmetric unit holds Be at (0.000, 0.000, 0.000), Tl at (0.000, 0.000, 0.351), Tl at (0.500, 0.500, 0.701) and Re at (0.500, 0.500, 0.080).

[4]
A plane-wave DFT calculation with PBE was carried out for an optimized crystal structure of SrSmHo2.

Its calculated total energy is -3.7590 eV per atom. The energy relative to the lowest polymorph listed for this composition comes out at 0.002 eV per atom. The value obtained for the magnetization is 0.0 μB/cell. The calculation puts the energy of formation from the pure elements at 0.1302 eV per atom.

The space group is P4/mmm (No. 123) and the conventional cell measures 3.693, 3.693 and 10.585 Å, with angles of 90.00, 90.00 and 90.00 degrees. The asymmetric unit holds Sr at (0.000, 0.000, 0.000), Sm at (0.000, 0.000, 0.500) and Ho at (0.500, 0.500, 0.278).

Q: magnetization of number 2 (Ac8Bi3Te4S)?
A: 0.0 μB/cell

Q: Which value of magnetization does entry 2 give?
A: 0.0 μB/cell

Q: The highest magnetization belongs to which entry?
A: BeTl2Re

Q: Which of these has the highest calculated total energy?
A: SrSmHo2